Record 1
Ho6AlIr, relaxed, DFT PBE; symmetry = No. 12; final energy = -41.1 eV/cell
1.0
6.606 0.646 0.000
2.232 6.476 0.000
1.116 3.238 5.707
Ho Al Ir
6 1 1
direct
0.747 0.465 0.616 Ho
0.747 0.081 0.384 Ho
0.253 0.919 0.616 Ho
0.253 0.535 0.384 Ho
0.736 0.735 0.000 Ho
0.264 0.265 0.000 Ho
0.000 0.000 0.000 Al
0.500 0.500 0.000 Ir


Record 2
Ho6Al2Ir, relaxed, DFT PBE; symmetry = No. 71; final energy = -46.1 eV/cell
1.0
4.952 0.000 -0.190
0.000 7.067 0.000
-2.195 -3.533 7.436
Ho Al Ir
6 2 1
direct
0.158 0.400 0.316 Ho
0.842 0.084 0.684 Ho
0.842 0.600 0.684 Ho
0.500 0.234 0.000 Ho
0.158 0.916 0.316 Ho
0.500 0.766 0.000 Ho
0.667 0.667 0.335 Al
0.333 0.333 0.665 Al
0.000 0.000 0.000 Ir


Record 3
Ho2Al5Ir, relaxed, DFT PBE; symmetry = No. 107; final energy = -40.1 eV/cell
1.0
-5.112 2.921 1.176
0.080 -5.933 0.914
4.698 1.072 3.582
Ho Al Ir
2 5 1
direct
0.500 0.260 0.760 Ho
0.500 0.760 0.260 Ho
0.437 0.722 0.722 Al
0.000 0.722 0.285 Al
0.000 0.285 0.722 Al
0.563 0.285 0.285 Al
0.000 0.244 0.244 Al
0.000 0.943 0.943 Ir


Number 1: calculated formation energy -1.071 eV/f.u.. Number 2: calculated formation energy -2.300 eV/f.u.. Number 3: calculated formation energy -3.342 eV/f.u..